1.
DFT (PBE-GGA) results for Li2NpTlO6 after structural relaxation.

a b c (Å): 5.4252 5.4244 5.8539
angles (deg): 62.38 62.39 59.97
Last column: nearest neighbours and their distance in Å.
Sites, in units of the cell vectors:
Li1 0.5429 0.5425 0.3716  3 O 2.02
Li2 0.0233 0.0240 0.9292  3 O 2.02
Np1 0.3213 0.3213 0.0361  6 O 2.03
Tl1 0.8148 0.8149 0.5554  6 O 2.24-2.32
O1 0.5761 0.2286 0.2532  1 Li 2.02, 1 Np 2.03
O2 0.2290 0.9423 0.2531  1 Li 2.02, 1 Np 2.03
O3 0.9422 0.5754 0.2535  1 Li 2.02, 1 Np 2.03
O4 0.3995 0.7036 0.7880  1 Li 2.02, 1 Np 2.03, 1 Tl 2.25
O5 0.7035 0.1091 0.7876  1 Li 2.02, 1 Np 2.03, 1 Tl 2.25
O6 0.1090 0.4000 0.7875  1 Li 2.02, 1 Np 2.03, 1 Tl 2.24

Computed properties:
**Total magnetization**: 0.00 μB per formula unit
**Calculated total energy**: -6.8135 eV/atom
**Raw formation energy**: -1925 meV/atom

2.
DFT (PBE-GGA) results for Ba2PuCuSe5 after structural relaxation.

a b c (Å): 4.2920 9.5823 13.2646
angles (deg): 90.00 90.00 102.94
Last column: nearest neighbours and their distance in Å.
Sites, in units of the cell vectors:
Ba1 0.8821 0.7642 0.8342  7 Se 3.21-3.49
Ba2 0.1212 0.2423 0.6995  7 Se 3.23-3.50
Ba3 0.1179 0.2358 0.3342  7 Se 3.21-3.49
Ba4 0.8788 0.7577 0.1995  7 Se 3.23-3.50
Pu1 0.8035 0.6071 0.5213  6 Se 2.76-2.86
Pu2 0.1965 0.3929 0.0213  6 Se 2.76-2.86
Cu1 0.5689 0.1379 0.9265  4 Se 2.41-2.49
Cu2 0.4311 0.8621 0.4265  4 Se 2.41-2.49
Se1 0.3448 0.6896 0.0171  1 Pu 2.77
Se2 0.6976 0.3953 0.8782  1 Cu 2.49
Se3 0.5022 0.0043 0.7713  1 Cu 2.41
Se4 0.3033 0.6066 0.6624  2 Pu 2.85
Se5 0.9511 0.9021 0.5133  2 Cu 2.46, 1 Pu 2.76
Se6 0.6552 0.3104 0.5171  1 Pu 2.77
Se7 0.3024 0.6047 0.3782  1 Cu 2.49
Se8 0.4978 0.9957 0.2713  1 Cu 2.41
Se9 0.6967 0.3934 0.1624  2 Pu 2.85
Se10 0.0489 0.0979 0.0133  2 Cu 2.46, 1 Pu 2.76

Computed properties:
**Total magnetization**: 3.24 μB per formula unit
**Calculated total energy**: -5.7774 eV/atom
**Raw formation energy**: -1367 meV/atom

3.
DFT (PBE-GGA) results for Tl2As2Rh after structural relaxation.

a b c (Å): 4.0032 4.0032 8.2099
angles (deg): 75.89 75.89 90.00
Last column: nearest neighbours and their distance in Å.
Sites, in units of the cell vectors:
Tl1 0.7500 0.2500 0.5000  4 Tl 2.83
Tl2 0.2500 0.7500 0.5000  4 Tl 2.83
Rh1 0.0000 0.0000 0.0000  8 As 3.06
As1 0.4251 0.4251 0.1497  1 As 2.31
As2 0.5749 0.5749 0.8503  1 As 2.31

Computed properties:
**Total magnetization**: 0.00 μB per formula unit
**Energy of formation**: 2.85 eV/f.u.
**Calculated total energy**: -3.7059 eV/atom
**Energy relative to the lowest polymorph listed for this composition**: 702 meV/atom

4.
DFT (PBE-GGA) results for SrCuSn2Au after structural relaxation.

a b c (Å): 4.7226 4.7226 6.5096
angles (deg): 111.27 111.27 90.00
Last column: nearest neighbours and their distance in Å.
Sites, in units of the cell vectors:
Sr1 0.0000 0.0000 0.0000  8 Sn 3.64, 4 Cu 3.66, 4 Au 3.66
Cu1 0.7500 0.2500 0.5000  4 Sn 2.72
Sn1 0.6292 0.6292 0.2584  2 Au 2.72, 2 Cu 2.72, 1 Sn 2.89
Sn2 0.3708 0.3708 0.7416  2 Cu 2.72, 2 Au 2.72, 1 Sn 2.89
Au1 0.2500 0.7500 0.5000  4 Sn 2.72

Computed properties:
**Total magnetization**: 0.00 μB per formula unit
**Energy of formation**: -2.00 eV/f.u.
**Calculated total energy**: -3.8114 eV/atom